# LiGd2Sb

A geometry-optimized LiGd2Sb structure (PBE, the Alexandria database).

V	103.1	Å³/cell
offset from the most stable computed form	0	meV per atom
energy relative to the elements, uncorrected	-219	kJ/mol of formula units
E	-9.117	eV per atom

POSCAR file:
```
LiGd2Sb
1.0
4.2725 0.0000 0.0000
0.0000 4.9131 0.0000
0.0000 0.0000 4.9131
Sb Gd Li
1 2 1
Direct
0.5000 0.5000 0.5000 Sb
0.0000 0.0000 0.5000 Gd
0.0000 0.5000 0.0000 Gd
0.5000 0.0000 0.0000 Li
```


# Dy3NiPb

A geometry-optimized Dy3NiPb structure (PBE, the Alexandria database).

V	140.0	Å³/cell
offset from the most stable computed form	64	meV per atom
formation energy from the elements	-0.30	eV/atom
E	-4.956	eV per atom

POSCAR file:
```
Dy3NiPb
1.0
5.1930 0.0000 0.0000
0.0000 5.1930 0.0000
0.0000 0.0000 5.1930
Pb Ni Dy
1 1 3
Direct
0.5000 0.5000 0.5000 Pb
0.0000 0.0000 0.0000 Ni
0.0000 0.5000 0.0000 Dy
0.0000 0.0000 0.5000 Dy
0.5000 0.0000 0.0000 Dy
```


# MgBeB

A geometry-optimized MgBeB structure (PBE, the Alexandria database).

V	143.8	Å³/cell
offset from the most stable computed form	113	meV per atom
formation energy from the elements	0.12	eV/atom
E	-3.883	eV per atom

POSCAR file:
```
MgBeB
1.0
-3.2666 -1.6748 -0.6432
3.5344 -5.1543 -4.5291
3.1052 -1.7550 4.4205
Be Mg B
4 4 4
Direct
0.3848 0.0000 0.3182 Be
0.3848 0.5000 0.8182 Be
0.0894 0.0000 0.5952 Be
0.0894 0.5000 0.0952 Be
0.6707 0.1904 0.0581 Mg
0.6707 0.8096 0.0581 Mg
0.6707 0.6904 0.5581 Mg
0.6707 0.3096 0.5581 Mg
0.6549 0.0000 0.6854 B
0.6549 0.5000 0.1854 B
0.0946 0.0000 0.9507 B
0.0946 0.5000 0.4507 B
```


# Ca2AcNdTe4

A geometry-optimized Ca2AcNdTe4 structure (PBE, the Alexandria database).

V	269.3	Å³/cell
energy relative to the elements, uncorrected	-1176	kJ/mol of formula units
E	-4.704	eV per atom

POSCAR file:
```
Ca2AcNdTe4
1.0
-0.5683 -1.9959 -4.0270
0.0328 -7.1830 3.5555
-7.3488 -1.9087 1.9830
Ca Ac Nd Te
2 1 1 4
Direct
0.0000 0.0000 0.0000 Ca
0.5000 0.0000 0.5000 Ca
0.0000 0.5000 0.5000 Ac
0.5000 0.5000 0.0000 Nd
0.0000 0.7590 0.7538 Te
0.0000 0.2410 0.2462 Te
0.5000 0.7644 0.2380 Te
0.5000 0.2356 0.7620 Te
```


# NdHgPb3

A geometry-optimized NdHgPb3 structure (PBE, the Alexandria database).

V	310.4	Å³/cell
offset from the most stable computed form	51	meV per atom
formation energy from the elements	-0.13	eV/atom
E	-3.374	eV per atom

POSCAR file:
```
NdHgPb3
1.0
3.5775 -0.4439 -0.1277
-2.5890 8.1307 -0.1080
-0.0326 -3.2632 11.1959
Nd Hg Pb
2 2 6
Direct
0.0743 0.5739 0.6675 Nd
0.9257 0.4261 0.3325 Nd
0.3504 0.3450 0.7972 Hg
0.6496 0.6550 0.2028 Hg
0.2014 0.2015 0.4981 Pb
0.7835 0.2855 0.0221 Pb
0.0514 0.0496 0.1877 Pb
0.7986 0.7985 0.5019 Pb
0.9486 0.9504 0.8123 Pb
0.2165 0.7145 0.9779 Pb
```


# Hg3PbBr

A geometry-optimized Hg3PbBr structure (PBE, the Alexandria database).

V	194.6	Å³/cell
offset from the most stable computed form	0	meV per atom
energy relative to the elements, uncorrected	-4	kJ/mol of formula units
E	-1.265	eV per atom

POSCAR file:
```
Hg3PbBr
1.0
-1.7528 -5.4467 0.9164
5.4336 -1.5279 1.3115
-0.9911 1.2560 5.5694
Pb Hg Br
1 3 1
Direct
0.0000 0.0000 0.0000 Pb
0.0000 0.5000 0.0000 Hg
0.0000 0.0000 0.5000 Hg
0.5000 0.0000 0.0000 Hg
0.5000 0.5000 0.5000 Br
```


# LaZr2AuF

A geometry-optimized LaZr2AuF structure (PBE, the Alexandria database).

V	111.8	Å³/cell
energy relative to the elements, uncorrected	-349	kJ/mol of formula units
E	-6.158	eV per atom

POSCAR file:
```
LaZr2AuF
1.0
-3.5615 -0.8516 2.5369
3.3817 -1.5642 4.2224
0.0661 4.1940 1.5007
F Au Zr La
1 1 2 1
Direct
0.0000 0.0000 0.0000 F
0.0000 0.5000 0.0000 Au
0.0000 0.0000 0.5000 Zr
0.5000 0.0000 0.0000 Zr
0.5000 0.5000 0.5000 La
```


# DyHg

A geometry-optimized DyHg structure (PBE, the Alexandria database).

V	58.0	Å³/cell
formation energy from the elements	-0.24	eV/atom
E	-2.695	eV per atom

POSCAR file:
```
DyHg
1.0
-0.3954 0.4016 -4.3079
0.7624 -3.4123 -2.5789
-3.2924 -1.9376 -2.0692
Hg Dy
1 1
Direct
0.0000 0.0000 0.0000 Hg
0.5000 0.5000 0.5000 Dy
```


# Y12Sb3O5

A geometry-optimized Y12Sb3O5 structure (PBE, the Alexandria database).

V	1900.2	Å³/cell
energy relative to the elements, uncorrected	-3294	kJ/mol of formula units
E	-7.443	eV per atom

POSCAR file:
```
Y12Sb3O5
1.0
13.5147 0.0000 0.0000
-4.5049 12.7418 0.0000
-4.5049 -6.3709 11.0347
Sb O Y
12 20 48
Direct
0.7500 0.3750 0.1250 Sb
0.8750 0.7500 0.1250 Sb
0.3750 0.7500 0.6250 Sb
0.2500 0.1250 0.3750 Sb
0.8750 0.1250 0.2500 Sb
0.3750 0.6250 0.2500 Sb
0.6250 0.3750 0.7500 Sb
0.1250 0.8750 0.7500 Sb
0.7500 0.8750 0.6250 Sb
0.6250 0.2500 0.3750 Sb
0.1250 0.2500 0.8750 Sb
0.2500 0.6250 0.8750 Sb
0.1250 0.3750 0.2500 O
0.0000 0.5000 0.0000 O
0.0000 0.0000 0.0000 O
0.3750 0.2500 0.1250 O
0.5000 0.0000 0.5000 O
0.5000 0.5000 0.0000 O
0.1250 0.7500 0.3750 O
0.7500 0.1250 0.8750 O
0.7500 0.6250 0.3750 O
0.3750 0.1250 0.7500 O
0.6250 0.8750 0.2500 O
0.5000 0.5000 0.5000 O
0.5000 0.0000 0.0000 O
0.0000 0.0000 0.5000 O
0.2500 0.3750 0.6250 O
0.2500 0.8750 0.1250 O
0.0000 0.5000 0.5000 O
0.8750 0.2500 0.6250 O
0.6250 0.7500 0.8750 O
0.8750 0.6250 0.7500 O
0.6957 0.1066 0.0072 Y
0.3115 0.5072 0.4006 Y
0.9928 0.3934 0.3043 Y
0.5072 0.1957 0.1066 Y
0.5891 0.6957 0.6885 Y
0.9928 0.5994 0.1885 Y
0.3115 0.8043 0.4109 Y
0.0994 0.9109 0.1066 Y
0.5994 0.9928 0.6885 Y
0.6957 0.5891 0.1885 Y
0.8043 0.4928 0.3934 Y
0.8115 0.9006 0.0072 Y
0.1066 0.6957 0.5072 Y
0.3934 0.4006 0.0891 Y
0.0891 0.9006 0.3934 Y
0.4109 0.1066 0.5994 Y
0.0891 0.1885 0.1957 Y
0.4928 0.6885 0.0994 Y
0.8115 0.9109 0.3043 Y
0.1066 0.4109 0.0994 Y
0.3934 0.9928 0.8043 Y
0.5994 0.6066 0.4109 Y
0.9006 0.8115 0.5072 Y
0.8043 0.3115 0.9109 Y
0.4006 0.3934 0.5891 Y
0.0994 0.1885 0.4928 Y
0.1957 0.6885 0.0891 Y
0.1885 0.0891 0.6957 Y
0.6066 0.0072 0.1957 Y
0.8934 0.5891 0.9006 Y
0.5072 0.3115 0.9006 Y
0.5891 0.8934 0.4006 Y
0.9109 0.8115 0.8043 Y
0.9109 0.0994 0.6066 Y
0.8934 0.3043 0.4928 Y
0.1885 0.0994 0.9928 Y
0.6066 0.5994 0.9109 Y
0.4006 0.0072 0.3115 Y
0.3043 0.4109 0.8115 Y
0.1957 0.5072 0.6066 Y
0.9006 0.0891 0.8934 Y
0.6885 0.1957 0.5891 Y
0.4928 0.8043 0.8934 Y
0.0072 0.4006 0.8115 Y
0.4109 0.3043 0.3115 Y
0.0072 0.6066 0.6957 Y
0.6885 0.4928 0.5994 Y
0.3043 0.8934 0.9928 Y
```


# Ca4Ac5La2

A geometry-optimized Ca4Ac5La2 structure (PBE, the Alexandria database).

V	469.4	Å³/cell
formation energy from the elements	0.13	eV/atom
E	-3.360	eV per atom

POSCAR file:
```
Ca4Ac5La2
1.0
-1.7877 3.1018 1.4130
-5.2020 -5.6638 5.8516
8.3352 0.4687 9.5167
Ca Ac La
4 5 2
Direct
0.5000 0.2842 0.5548 Ca
0.5000 0.8392 0.8851 Ca
0.5000 0.7158 0.4452 Ca
0.5000 0.1608 0.1149 Ca
0.0000 0.4263 0.2976 Ac
0.0000 0.8024 0.1665 Ac
0.0000 0.5000 0.0000 Ac
0.0000 0.1976 0.8335 Ac
0.0000 0.5737 0.7024 Ac
0.0000 0.9522 0.6295 La
0.0000 0.0478 0.3705 La
```


# NdYRhI

A geometry-optimized NdYRhI structure (PBE, the Alexandria database).

V	118.9	Å³/cell
energy relative to the elements, uncorrected	-356	kJ/mol of formula units
E	-5.956	eV per atom

POSCAR file:
```
NdYRhI
1.0
4.1273 -0.0005 -0.0002
-2.0632 3.5747 -0.0002
-2.0634 -1.1918 8.0627
Nd Y Rh I
1 1 1 1
Direct
0.5151 0.1554 0.6858 Nd
0.0928 0.9443 0.0526 Y
0.3076 0.5516 0.8747 Rh
0.9625 0.3794 0.3567 I
```


# VCdAs2

A geometry-optimized VCdAs2 structure (PBE, the Alexandria database).

V	80.8	Å³/cell
formation energy from the elements	-0.10	eV/atom
E	-4.938	eV per atom

POSCAR file:
```
VCdAs2
1.0
3.0062 0.0000 0.0000
1.5031 2.6034 0.0000
1.5031 0.8678 10.3289
V Cd As
1 1 2
Direct
0.6672 0.6672 0.9984 V
0.4985 0.4985 0.5044 Cd
0.0606 0.0606 0.8183 As
0.2737 0.2737 0.1789 As
```


# MgPtS2N

A geometry-optimized MgPtS2N structure (PBE, the Alexandria database).

V	91.1	Å³/cell
offset from the most stable computed form	0	meV per atom
energy relative to the elements, uncorrected	115	kJ/mol of formula units
E	-4.605	eV per atom

POSCAR file:
```
MgPtS2N
1.0
-0.3768 4.6122 1.8261
-4.6943 0.2604 -1.6263
-1.1869 -1.3668 3.2071
S Mg Pt N
2 1 1 1
Direct
0.0000 0.5000 0.0000 S
0.5000 0.0000 0.0000 S
0.5000 0.5000 0.5000 Mg
0.0000 0.0000 0.0000 Pt
0.0000 0.0000 0.5000 N
```


# LaNd5Ho6

A geometry-optimized LaNd5Ho6 structure (PBE, the Alexandria database).

V	398.9	Å³/cell
offset from the most stable computed form	6	meV per atom
formation energy from the elements	0.02	eV/atom
E	-4.667	eV per atom

POSCAR file:
```
LaNd5Ho6
1.0
-4.3608 -2.2563 -1.5391
2.1197 -8.0129 5.7442
-2.6268 8.3621 3.7824
Nd Ho La
5 6 1
Direct
0.6676 0.1677 0.3351 Nd
0.3330 0.3331 0.6659 Nd
0.0000 0.5000 0.0000 Nd
0.6670 0.6669 0.3341 Nd
0.3324 0.8323 0.6649 Nd
0.8330 0.5823 0.6660 Ho
0.8330 0.0837 0.6660 Ho
0.5000 0.7485 0.0000 Ho
0.5000 0.2515 0.0000 Ho
0.1670 0.9163 0.3340 Ho
0.1670 0.4177 0.3340 Ho
0.0000 0.0000 0.0000 La
```


# VAgTe4

A geometry-optimized VAgTe4 structure (PBE, the Alexandria database).

V	169.6	Å³/cell
offset from the most stable computed form	0	meV per atom
energy relative to the elements, uncorrected	-61	kJ/mol of formula units
E	-4.195	eV per atom

POSCAR file:
```
VAgTe4
1.0
-3.4421 1.2888 1.3283
-1.0839 -6.6463 -2.1096
3.3535 1.9173 6.8298
V Ag Te
1 1 4
Direct
0.0000 0.0000 0.0000 V
0.5000 0.0000 0.5000 Ag
0.3849 0.7698 0.0740 Te
0.1497 0.2995 0.4270 Te
0.6151 0.2302 0.9260 Te
0.8503 0.7005 0.5730 Te
```


# ErCd6Hg12

A geometry-optimized ErCd6Hg12 structure (PBE, the Alexandria database).

V	485.5	Å³/cell
offset from the most stable computed form	4	meV per atom
formation energy from the elements	-0.04	eV/atom
E	-0.757	eV per atom

POSCAR file:
```
ErCd6Hg12
1.0
7.8457 0.3907 0.4680
-0.8033 7.8143 0.4680
-0.8033 -0.9359 7.7721
Er Cd Hg
1 6 12
Direct
0.0000 0.0000 0.0000 Er
0.8680 0.7238 0.2693 Cd
0.7307 0.1320 0.2762 Cd
0.2762 0.7307 0.1320 Cd
0.1320 0.2762 0.7307 Cd
0.2693 0.8680 0.7238 Cd
0.7238 0.2693 0.8680 Cd
0.8003 0.4544 0.5320 Hg
0.5320 0.8003 0.4544 Hg
0.4544 0.5320 0.8003 Hg
0.1997 0.5456 0.4680 Hg
0.4680 0.1997 0.5456 Hg
0.5456 0.4680 0.1997 Hg
0.1437 0.0378 0.3718 Hg
0.9622 0.6282 0.8563 Hg
0.6282 0.8563 0.9622 Hg
0.8563 0.9622 0.6282 Hg
0.0378 0.3718 0.1437 Hg
0.3718 0.1437 0.0378 Hg
```


# HfGa2As

A geometry-optimized HfGa2As structure (PBE, the Alexandria database).

V	155.4	Å³/cell
formation energy from the elements	-0.10	eV/atom
E	-5.260	eV per atom

POSCAR file:
```
HfGa2As
1.0
7.5292 0.0000 0.0000
0.0000 7.5292 0.0000
3.7646 3.7646 2.7415
As Hf Ga
2 2 4
Direct
0.5000 0.5000 0.0000 As
0.2500 0.7500 0.5000 As
0.0000 0.0000 0.0000 Hf
0.7500 0.2500 0.5000 Hf
0.6058 0.1250 0.2500 Ga
0.1442 0.6250 0.2500 Ga
0.3750 0.3942 0.7500 Ga
0.8750 0.8558 0.7500 Ga
```


# SmInRh2

A geometry-optimized SmInRh2 structure (PBE, the Alexandria database).

V	76.5	Å³/cell
formation energy from the elements	-0.58	eV/atom
E	-6.119	eV per atom

POSCAR file:
```
SmInRh2
1.0
-2.3760 0.0625 2.4763
-1.3012 -2.9513 -1.1741
3.9882 -3.3140 3.9104
Rh Sm In
2 1 1
Direct
0.0000 0.0000 0.7696 Rh
0.0000 0.0000 0.2304 Rh
0.5000 0.5000 0.5000 Sm
0.5000 0.5000 0.0000 In
```